No. 1
YU3Tl3Se8 | GGA-PBE | relaxed

a = 9.2068 Å, b = 9.2068 Å, c = 9.2068 Å
α = 53.70°, β = 53.70°, γ = 53.70°
Element x y z (fractional)
Y (0.0000, 0.0000, 0.0000)
U (0.0000, 0.5000, 0.5000)
U (0.5000, 0.0000, 0.5000)
U (0.5000, 0.5000, 0.0000)
Tl (0.0000, 0.0000, 0.5000)
Tl (0.0000, 0.5000, 0.0000)
Tl (0.5000, 0.0000, 0.0000)
Se (0.2354, 0.2354, 0.7325)
Se (0.2354, 0.7325, 0.2354)
Se (0.2648, 0.2648, 0.2648)
Se (0.2675, 0.7646, 0.7646)
Se (0.7325, 0.2354, 0.2354)
Se (0.7352, 0.7352, 0.7352)
Se (0.7646, 0.2675, 0.7646)
Se (0.7646, 0.7646, 0.2675)

Output
Crystal system   trigonal
Final energy   -6.10 eV/atom
Energy relative to the elements, uncorrected   -16.2 eV per formula unit
Space group   R-3m

***

No. 2
Ge2Bi2Se | GGA-PBE | relaxed

a = 8.0250 Å, b = 8.0250 Å, c = 3.9507 Å
α = 90.00°, β = 90.00°, γ = 90.00°
Element x y z (fractional)
Ge (0.1460, 0.3540, 0.0000)
Ge (0.3540, 0.8540, 0.0000)
Ge (0.6460, 0.1460, 0.0000)
Ge (0.8540, 0.6460, 0.0000)
Bi (0.1529, 0.6529, 0.5000)
Bi (0.3471, 0.1529, 0.5000)
Bi (0.6529, 0.8471, 0.5000)
Bi (0.8471, 0.3471, 0.5000)
Se (0.0000, 0.0000, 0.0000)
Se (0.5000, 0.5000, 0.0000)

Output
Crystal system   tetragonal
Energy relative to the lowest polymorph listed for this composition   45 meV/atom
Final energy   -3.82 eV/atom
Energy relative to the elements, uncorrected   1.4 eV per formula unit
Space group   P4/mbm

***

No. 3
Np2BeCo3As4 | GGA-PBE | relaxed

a = 4.1164 Å, b = 4.1164 Å, c = 9.2602 Å
α = 90.00°, β = 90.00°, γ = 90.00°
Element x y z (fractional)
Np (0.0000, 0.5000, 0.2473)
Np (0.5000, 0.0000, 0.7527)
Be (0.5000, 0.5000, 0.0000)
Co (0.0000, 0.0000, 0.0000)
Co (0.0000, 0.5000, 0.6161)
Co (0.5000, 0.0000, 0.3839)
As (0.0000, 0.0000, 0.5000)
As (0.0000, 0.5000, 0.8656)
As (0.5000, 0.0000, 0.1344)
As (0.5000, 0.5000, 0.5000)

Output
Crystal system   tetragonal
Final energy   -7.34 eV/atom
Formation enthalpy at 0 K   -387 meV per atom
Space group   P-4m2

***

No. 4
Co2Sb | GGA-PBE | relaxed

a = 3.0393 Å, b = 3.0393 Å, c = 5.8372 Å
α = 90.00°, β = 90.00°, γ = 120.00°
Element x y z (fractional)
Co (0.3333, 0.6667, 0.3550)
Co (0.6667, 0.3333, 0.6450)
Sb (0.0000, 0.0000, 0.0000)

Output
Crystal system   trigonal
Final energy   -5.63 eV/atom
Energy relative to the elements, uncorrected   1.4 eV per formula unit
Space group   P-3m1